Entry 1:
DFT (PBE) results for Nd5GaTe2 after structural relaxation.

Values from the calculation:
* DFT total energy: -80.2 eV/cell
* density of states at the Fermi level: 15.1 states/eV/cell
* calculated density: 7.25 g cm⁻³

```
data_Nd5GaTe2
_chemical_formula_sum 'Nd10 Ga2 Te4'
_symmetry_space_group_name_H-M 'P b a m'
_symmetry_Int_Tables_number 55
_cell_length_a 8.238
_cell_length_b 12.690
_cell_length_c 4.584
_cell_angle_alpha 90.00
_cell_angle_beta 90.00
_cell_angle_gamma 90.00
loop_
_symmetry_equiv_pos_as_xyz
'x,y,z'
'-x,-y,-z'
'-x,-y,z'
'x,y,-z'
'x+1/2,-y+1/2,-z'
'-x+1/2,y+1/2,z'
'-x+1/2,y+1/2,-z'
'x+1/2,-y+1/2,z'
loop_
_atom_site_label
_atom_site_fract_x
_atom_site_fract_y
_atom_site_fract_z
_atom_site_occupancy
Nd1 0.000 0.000 0.000 1
Nd2 0.137 0.290 0.000 1
Nd3 0.208 0.563 0.500 1
Ga1 0.000 0.500 0.000 1
Te1 0.088 0.822 0.500 1
```

Entry 2:
DFT (PBE) results for Nd4GaTe2 after structural relaxation.

Values from the calculation:
* DFT total energy: -70.3 eV/cell
* density of states at the Fermi level: 10.5 states/eV/cell
* calculated density: 6.53 g cm⁻³

```
data_Nd4GaTe2
_chemical_formula_sum 'Nd8 Ga2 Te4'
_symmetry_space_group_name_H-M 'P b a m'
_symmetry_Int_Tables_number 55
_cell_length_a 7.922
_cell_length_b 12.369
_cell_length_c 4.680
_cell_angle_alpha 90.00
_cell_angle_beta 90.00
_cell_angle_gamma 90.00
loop_
_symmetry_equiv_pos_as_xyz
'x,y,z'
'-x,-y,-z'
'-x,-y,z'
'x,y,-z'
'x+1/2,-y+1/2,-z'
'-x+1/2,y+1/2,z'
'-x+1/2,y+1/2,-z'
'x+1/2,-y+1/2,z'
loop_
_atom_site_label
_atom_site_fract_x
_atom_site_fract_y
_atom_site_fract_z
_atom_site_occupancy
Nd1 0.141 0.215 0.000 1
Nd2 0.219 0.945 0.500 1
Ga1 0.000 0.000 0.000 1
Te1 0.087 0.681 0.500 1
```

Entry 3:
DFT (PBE) results for Nd4Ga2Te after structural relaxation.

Values from the calculation:
* DFT total energy: -133.9 eV/cell
* density of states at the Fermi level: 20.9 states/eV/cell
* calculated density: 6.91 g cm⁻³

```
data_Nd4Ga2Te
_chemical_formula_sum 'Nd16 Ga8 Te4'
_symmetry_space_group_name_H-M 'I -4 2 d'
_symmetry_Int_Tables_number 122
_symmetry_space_group_name_Hall 'I -4 2bw'
_cell_length_a 9.355
_cell_length_b 9.355
_cell_length_c 9.267
_cell_angle_alpha 90.00
_cell_angle_beta 90.00
_cell_angle_gamma 90.00
loop_
_atom_site_label
_atom_site_fract_x
_atom_site_fract_y
_atom_site_fract_z
_atom_site_occupancy
Nd1 0.072 0.677 0.437 1
Ga1 0.131 0.750 0.125 1
Te1 0.000 0.000 0.500 1
```

Entry 4:
DFT (PBE) results for Nd6GaTe3 after structural relaxation.

Values from the calculation:
* DFT total energy: -99.8 eV/cell
* density of states at the Fermi level: 17.2 states/eV/cell
* calculated density: 6.68 g cm⁻³

```
data_Nd6GaTe3
_chemical_formula_sum 'Nd12 Ga2 Te6'
_symmetry_space_group_name_H-M 'P 1 21/m 1'
_symmetry_Int_Tables_number 11
_cell_length_a 12.499
_cell_length_b 4.172
_cell_length_c 13.036
_cell_angle_alpha 90.00
_cell_angle_beta 105.39
_cell_angle_gamma 90.00
loop_
_symmetry_equiv_pos_as_xyz
'x,y,z'
'-x,-y,-z'
'-x,y+1/2,-z'
'x,-y+1/2,z'
loop_
_atom_site_label
_atom_site_fract_x
_atom_site_fract_y
_atom_site_fract_z
_atom_site_occupancy
Nd1 0.005 0.250 0.354 1
Nd2 0.100 0.250 0.904 1
Nd3 0.254 0.750 0.292 1
Nd4 0.301 0.750 0.750 1
Nd5 0.392 0.250 0.540 1
Nd6 0.427 0.750 0.121 1
Ga1 0.457 0.250 0.310 1
Te1 0.095 0.250 0.146 1
Te2 0.175 0.750 0.503 1
Te3 0.352 0.250 0.937 1
```

Which of these has the highest calculated density?
Nd5GaTe2

Repeat the fourth record exactly.
DFT (PBE) results for Nd6GaTe3 after structural relaxation.

Values from the calculation:
* DFT total energy: -99.8 eV/cell
* density of states at the Fermi level: 17.2 states/eV/cell
* calculated density: 6.68 g cm⁻³

```
data_Nd6GaTe3
_chemical_formula_sum 'Nd12 Ga2 Te6'
_symmetry_space_group_name_H-M 'P 1 21/m 1'
_symmetry_Int_Tables_number 11
_cell_length_a 12.499
_cell_length_b 4.172
_cell_length_c 13.036
_cell_angle_alpha 90.00
_cell_angle_beta 105.39
_cell_angle_gamma 90.00
loop_
_symmetry_equiv_pos_as_xyz
'x,y,z'
'-x,-y,-z'
'-x,y+1/2,-z'
'x,-y+1/2,z'
loop_
_atom_site_label
_atom_site_fract_x
_atom_site_fract_y
_atom_site_fract_z
_atom_site_occupancy
Nd1 0.005 0.250 0.354 1
Nd2 0.100 0.250 0.904 1
Nd3 0.254 0.750 0.292 1
Nd4 0.301 0.750 0.750 1
Nd5 0.392 0.250 0.540 1
Nd6 0.427 0.750 0.121 1
Ga1 0.457 0.250 0.310 1
Te1 0.095 0.250 0.146 1
Te2 0.175 0.750 0.503 1
Te3 0.352 0.250 0.937 1
```

calculated density of number 3 (Nd4Ga2Te)?
6.91 g cm⁻³